Below is an optimized crystal structure of Na3PdCl, with properties calculated at the PBE level.

Structure (CIF):
```
data_Na3PdCl
_space_group_name_H-M_alt 'P m -3 m'
_space_group_IT_number 221
_space_group_name_Hall '-P 4 2 3'
_cell_length_a 5.157
_cell_length_b 5.157
_cell_length_c 5.157
_cell_angle_alpha 90.00
_cell_angle_beta 90.00
_cell_angle_gamma 90.00
loop_
_atom_site_label
_atom_site_type_symbol
_atom_site_fract_x
_atom_site_fract_y
_atom_site_fract_z
Na1 Na 0.000 0.000 0.500
Pd1 Pd 0.500 0.500 0.500
Cl1 Cl 0.000 0.000 0.000
```

Results
VASP energy: -13.35 eV per cell
energy above the lowest structure with this stoichiometry: 0 meV per atom
total moment: 0.00 μB/f.u.
theoretical density: 2.55 Mg/m³
uncorrected formation energy: -471.2 meV/atom